[1]
# CsTlGaSb

Crystalline CsTlGaSb at its relaxed geometry (PBE-GGA, the Alexandria database).

Calculated values
Electronic total energy (eV/atom): -2.8011
ρ (g cm⁻³): 5.42

abc: 4.7228 4.7228 14.5299
angles: 90.00 90.00 90.00
Last column: nearest neighbours and their distance in Å.
Space group P4/nmm (No. 129, origin choice 2)
Unique sites:
Cs1 0.2500 0.2500 0.2490 [2 per cell]  4 Sb 3.94, 4 Ga 4.32, 4 Tl 4.35
Tl1 0.2500 0.7500 0.5000 [2 per cell]  4 Tl 3.34
Ga1 0.2500 0.7500 0.0000 [2 per cell]  4 Sb 2.81
Sb1 0.2500 0.2500 0.8948 [2 per cell]  4 Ga 2.81

=====

[2]
# HoBeNi

Crystalline HoBeNi at its relaxed geometry (PBE-GGA, the Alexandria database).

Calculated values
ρ (g cm⁻³): 7.90
E_form (eV/atom): -0.289
Energy relative to the lowest polymorph listed for this composition (meV/atom): 0.0

abc: 3.8982 3.8982 3.7148
angles: 90.00 90.00 120.00
Last column: nearest neighbours and their distance in Å.
Space group P-6m2 (No. 187)
Unique sites:
Ho1 0.0000 0.0000 0.0000 [1 per cell]  6 Ni 2.92, 6 Be 2.92
Be1 0.3333 0.6667 0.5000 [1 per cell]  3 Ni 2.25
Ni1 0.6667 0.3333 0.5000 [1 per cell]  3 Be 2.25

=====

[3]
# Cs3ErNp2O9

Crystalline Cs3ErNp2O9 at its relaxed geometry (PBE-GGA, the Alexandria database).

Calculated values
Electronic total energy (eV/atom): -7.7893
ρ (g cm⁻³): 7.76

abc: 6.2040 6.2040 7.5983
angles: 90.00 90.00 120.00
Last column: nearest neighbours and their distance in Å.
Space group P-3m1 (No. 164)
Unique sites:
Cs1 0.0000 0.0000 0.0000 [1 per cell]  12 O 3.09-3.10
Cs2 0.3333 0.6667 0.6636 [2 per cell]  12 O 3.10-3.12
Er1 0.0000 0.0000 0.5000 [1 per cell]  6 O 2.34
Np1 0.3333 0.6667 0.1668 [2 per cell]  6 O 2.05-2.19
O1 0.0000 0.5000 0.0000 [3 per cell]  2 Np 2.19
O2 0.1767 0.3534 0.3211 [6 per cell]  1 Np 2.05

=====

[4]
# Ba2GePb

Crystalline Ba2GePb at its relaxed geometry (PBE-GGA, the Alexandria database).

Calculated values
ρ (g cm⁻³): 6.22
E_form (eV/atom): -0.375
Energy relative to the lowest polymorph listed for this composition (meV/atom): 190.9

abc: 8.3964 8.3964 8.3964
angles: 90.00 90.00 90.00
Last column: nearest neighbours and their distance in Å.
Space group Fm-3m (No. 225)
Unique sites:
Ba1 0.2500 0.2500 0.2500 [8 per cell]  4 Pb 3.64, 4 Ge 3.64
Ge1 0.0000 0.0000 0.0000 [4 per cell]  8 Ba 3.64
Pb1 0.0000 0.0000 0.5000 [4 per cell]  8 Ba 3.64

=====

[5]
# TmPuTlSn

Crystalline TmPuTlSn at its relaxed geometry (PBE-GGA, the Alexandria database).

Calculated values
ρ (g cm⁻³): 11.37
E_form (eV/atom): -0.279

abc: 7.5488 7.5488 7.5488
angles: 90.00 90.00 90.00
Last column: nearest neighbours and their distance in Å.
Space group F-43m (No. 216)
Unique sites:
Tm1 0.0000 0.0000 0.0000 [4 per cell]  4 Tl 3.27, 4 Sn 3.27
Pu1 0.0000 0.0000 0.5000 [4 per cell]  4 Sn 3.27, 4 Tl 3.27
Tl1 0.2500 0.2500 0.7500 [4 per cell]  4 Pu 3.27, 4 Tm 3.27
Sn1 0.2500 0.2500 0.2500 [4 per cell]  4 Tm 3.27, 4 Pu 3.27

=====

[6]
# CaY2Ta

Crystalline CaY2Ta at its relaxed geometry (PBE-GGA, the Alexandria database).

Calculated values
ρ (g cm⁻³): 5.72
E_form (eV/atom): 0.393
Energy relative to the lowest polymorph listed for this composition (meV/atom): 102.4

abc: 3.4026 3.4026 34.6400
angles: 90.00 90.00 120.00
Last column: nearest neighbours and their distance in Å.
Space group R-3m (No. 166, hexagonal axes)
Unique sites:
Ca1 0.0000 0.0000 0.0000 [3 per cell]  6 Ca 3.40
Y1 0.0000 0.0000 0.2384 [6 per cell]  3 Ta 3.17, 6 Y 3.40
Ta1 0.0000 0.0000 0.5000 [3 per cell]  6 Y 3.17, 6 Ta 3.40

=====

[7]
# K3Nd3HoTe8

Crystalline K3Nd3HoTe8 at its relaxed geometry (PBE-GGA, the Alexandria database).

Calculated values
Electronic total energy (eV/atom): -4.4772
ρ (g cm⁻³): 4.81

abc: 9.0130 9.0130 25.5244
angles: 90.00 90.00 120.00
Last column: nearest neighbours and their distance in Å.
Space group R-3m (No. 166, hexagonal axes)
Unique sites:
K1 0.0000 0.5000 0.0000 [9 per cell]  6 Te 3.55-3.57
Nd1 0.0000 0.5000 0.5000 [9 per cell]  6 Te 3.18
Ho1 0.0000 0.0000 0.5000 [3 per cell]  6 Te 3.10
Te1 0.0000 0.0000 0.2386 [6 per cell]  3 Nd 3.18, 3 K 3.55
Te2 0.0076 0.5038 0.2365 [18 per cell]  1 Ho 3.10, 2 Nd 3.18

=====

[8]
# Sm3Tm3Sc5

Crystalline Sm3Tm3Sc5 at its relaxed geometry (PBE-GGA, the Alexandria database).

Calculated values
ρ (g cm⁻³): 5.17
E_form (eV/atom): 0.836

abc: 9.0819 9.0819 5.3195
angles: 90.00 90.00 120.00
Last column: nearest neighbours and their distance in Å.
Space group P-62m (No. 189)
Unique sites:
Sm1 0.0000 0.3794 0.0000 [3 per cell]  4 Sc 2.84-3.02
Tm1 0.0000 0.6023 0.5000 [3 per cell]  2 Sc 3.02, 2 Sm 3.34
Sc1 0.0000 0.7604 0.0000 [3 per cell]  2 Sm 3.02, 2 Tm 3.02
Sc2 0.3333 0.6667 0.0000 [2 per cell]  3 Sm 2.84

=====

[9]
# Ti2SnMo2

Crystalline Ti2SnMo2 at its relaxed geometry (PBE-GGA, the Alexandria database).

Calculated values
ρ (g cm⁻³): 7.60
E_form (eV/atom): -0.008

abc: 3.9687 14.7286 3.0372
angles: 90.00 90.00 90.00
Last column: nearest neighbours and their distance in Å.
Space group Cmmm (No. 65)
Unique sites:
Ti1 0.0000 0.1142 0.0000 [4 per cell]  6 Mo 2.80-3.13, 4 Sn 3.01, 2 Ti 3.04
Sn1 0.0000 0.5000 0.5000 [2 per cell]  2 Mo 2.94, 8 Ti 3.01, 2 Sn 3.04
Mo1 0.0000 0.3002 0.5000 [4 per cell]  2 Mo 2.47

=====

[10]
# CeTmTaO6

Crystalline CeTmTaO6 at its relaxed geometry (PBE-GGA, the Alexandria database).

Calculated values
Electronic total energy (eV/atom): -9.0032
ρ (g cm⁻³): 7.72

abc: 5.5147 5.5147 9.5715
angles: 90.00 90.00 120.00
Last column: nearest neighbours and their distance in Å.
Space group P-31c (No. 163)
Unique sites:
Ce1 0.0000 0.0000 0.0000 [2 per cell]  6 O 2.30
Tm1 0.3333 0.6667 0.2500 [2 per cell]  6 O 2.23
Ta1 0.3333 0.6667 0.7500 [2 per cell]  6 O 2.01
O1 0.0302 0.3602 0.6347 [12 per cell]  1 Ta 2.01, 1 Tm 2.23

=====

[11]
# Mn5Cr3H12

Crystalline Mn5Cr3H12 at its relaxed geometry (PBE-GGA, the Alexandria database).

Calculated values
Electronic total energy (eV/atom): -5.6354
ρ (g cm⁻³): 5.50

abc: 10.2256 10.2256 10.2256
angles: 90.00 90.00 90.00
Last column: nearest neighbours and their distance in Å.
Space group Ia-3d (No. 230)
Unique sites:
Mn1 0.0000 0.0000 0.0000 [16 per cell]  6 H 1.71
Mn2 0.0000 0.2500 0.3750 [24 per cell]  4 H 1.71
Cr1 0.0000 0.2500 0.1250 [24 per cell]  8 H 1.85-1.86
H1 0.0093 0.0701 0.6518 [96 per cell]  2 Mn 1.71, 2 Cr 1.85-1.86

=====

[12]
# CsGeBiPt2

Crystalline CsGeBiPt2 at its relaxed geometry (PBE-GGA, the Alexandria database).

Calculated values
ρ (g cm⁻³): 8.37
E_form (eV/atom): -0.359

abc: 7.8066 4.4210 9.4921
angles: 90.00 102.96 90.00
Last column: nearest neighbours and their distance in Å.
Space group P2_1/m (No. 11)
Unique sites:
Cs1 0.0480 0.2500 0.2625 [2 per cell]  3 Ge 3.65-3.68, 3 Pt 3.92-4.03, 3 Bi 4.03-4.09
Ge1 0.3046 0.7500 0.5414 [2 per cell]  4 Pt 2.45-2.55
Bi1 0.3739 0.7500 0.0714 [2 per cell]  3 Pt 2.70-2.88
Pt1 0.4673 0.2500 0.5989 [2 per cell]  3 Ge 2.45-2.55
Pt2 0.4697 0.7500 0.7955 [2 per cell]  1 Ge 2.47, 2 Bi 2.70